Record 1
DFT (meta-GGA SCAN) results for a PBEsol-optimized structure of MnBiNO2. Values from VASP.

The structure in Quantum ESPRESSO input format:
```
&SYSTEM
  ibrav = 0, nat = 5, ntyp = 4
/
ATOMIC_SPECIES
Mn 54.94 Mn.upf
Bi 208.98 Bi.upf
N 14.01 N.upf
O 16.00 O.upf
CELL_PARAMETERS angstrom
4.146 0.000 0.000
0.000 4.146 0.000
0.000 0.000 4.222
ATOMIC_POSITIONS angstrom
Mn 0.000 0.000 0.000
Bi 2.073 2.073 2.111
N 2.073 2.073 0.000
O 0.000 2.073 2.111
O 2.073 0.000 2.111
```

Space group: P4/mmm, No. 123
E_form (uncorrected) (eV/f.u.): 0.9
DOS(E_F) (states/eV/atom): 0.506
Magnetic moment (μB per formula unit): 4.8
Electronic total energy (eV per cell): -117.71
Crystal system: tetragonal

=====

Record 2
DFT (meta-GGA SCAN) results for a PBEsol-optimized structure of ErB12. Values from VASP.

The structure in Quantum ESPRESSO input format:
```
&SYSTEM
  ibrav = 0, nat = 13, ntyp = 2
/
ATOMIC_SPECIES
Er 167.26 Er.upf
B 10.81 B.upf
CELL_PARAMETERS angstrom
0.000 3.720 3.720
3.720 0.000 3.720
3.720 3.720 0.000
ATOMIC_POSITIONS angstrom
Er 0.000 0.000 0.000
B 3.720 2.463 2.463
B 4.976 3.720 2.463
B 4.976 2.463 3.720
B 2.463 3.720 2.463
B 3.720 4.976 2.463
B 2.463 2.463 3.720
B 4.976 4.976 3.720
B 3.720 2.463 4.976
B 4.976 3.720 4.976
B 2.463 4.976 3.720
B 2.463 3.720 4.976
B 3.720 4.976 4.976
```

Space group: Fm-3m, No. 225
DOS(E_F) (states/eV/atom): 0.034
Magnetic moment (μB per formula unit): 0.0
Electronic total energy (eV per cell): -143.43
Crystal system: cubic
Calculated formation energy (eV/atom): -0.30

=====

Record 3
DFT (meta-GGA SCAN) results for a PBEsol-optimized structure of SmAl3B4O12. Values from VASP.

The structure in Quantum ESPRESSO input format:
```
&SYSTEM
  ibrav = 0, nat = 20, ntyp = 4
/
ATOMIC_SPECIES
Sm 150.36 Sm.upf
Al 26.98 Al.upf
B 10.81 B.upf
O 16.00 O.upf
CELL_PARAMETERS angstrom
4.668 2.695 2.416
-4.668 2.695 2.416
0.000 -5.391 2.416
ATOMIC_POSITIONS angstrom
Sm 0.000 0.000 0.000
Al -2.596 -0.895 2.416
Al 2.073 -1.800 2.416
Al 0.523 2.695 2.416
B -2.065 -3.576 3.624
B 0.000 0.000 3.624
B -2.065 3.576 3.624
B 4.129 0.000 3.624
O -2.786 -2.424 3.453
O -3.818 0.000 3.624
O -0.707 -3.625 3.796
O -1.390 0.000 3.624
O -2.786 2.424 3.796
O 1.909 -3.307 3.624
O 0.695 -1.204 3.624
O -0.707 3.625 3.453
O 0.695 1.204 3.624
O 3.492 -1.200 3.453
O 1.909 3.307 3.624
O 3.492 1.200 3.796
```

Space group: R32, No. 155
E_form (uncorrected) (eV/f.u.): -62.5
DOS(E_F) (states/eV/atom): 0.000
Magnetic moment (μB per formula unit): 0.0
Electronic total energy (eV per cell): -234.70
Crystal system: trigonal

=====

Record 4
DFT (meta-GGA SCAN) results for a PBEsol-optimized structure of RhWCl2. Values from VASP.

The structure in Quantum ESPRESSO input format:
```
&SYSTEM
  ibrav = 0, nat = 4, ntyp = 3
/
ATOMIC_SPECIES
Rh 102.91 Rh.upf
W 183.84 W.upf
Cl 35.45 Cl.upf
CELL_PARAMETERS angstrom
3.273 -1.497 0.000
3.273 1.497 0.000
-2.363 0.000 7.997
ATOMIC_POSITIONS angstrom
Rh 0.000 0.000 0.000
W 4.748 0.000 1.475
Cl -0.476 0.000 6.346
Cl 1.482 0.000 3.344
```

Energy relative to the lowest polymorph listed for this composition (kJ/mol of formula units): 0.0
Space group: Cm, No. 8
E_form (uncorrected) (eV/f.u.): -1.0
DOS(E_F) (states/eV/atom): 0.307
Magnetic moment (μB per formula unit): 0.0
Electronic total energy (eV per cell): -120.38
Crystal system: monoclinic

=====

Record 5
DFT (meta-GGA SCAN) results for a PBEsol-optimized structure of MgTcAgOs2. Values from VASP.

The structure in Quantum ESPRESSO input format:
```
&SYSTEM
  ibrav = 0, nat = 5, ntyp = 4
/
ATOMIC_SPECIES
Mg 24.30 Mg.upf
Tc 98.00 Tc.upf
Ag 107.87 Ag.upf
Os 190.23 Os.upf
CELL_PARAMETERS angstrom
4.742 0.000 0.000
0.000 4.742 0.000
0.000 0.000 4.367
ATOMIC_POSITIONS angstrom
Mg 0.000 0.000 0.000
Tc 2.371 2.371 0.000
Ag 0.000 0.000 2.183
Os 0.000 2.371 2.183
Os 2.371 0.000 2.183
```

Space group: P4/mmm, No. 123
DOS(E_F) (states/eV/atom): 0.623
Magnetic moment (μB per formula unit): 2.1
Electronic total energy (eV per cell): -203.17
Crystal system: tetragonal
Calculated formation energy (eV/atom): 2.40

=====

Record 6
DFT (meta-GGA SCAN) results for a PBEsol-optimized structure of Tb2B6Os. Values from VASP.

The structure in Quantum ESPRESSO input format:
```
&SYSTEM
  ibrav = 0, nat = 36, ntyp = 3
/
ATOMIC_SPECIES
Tb 158.93 Tb.upf
B 10.81 B.upf
Os 190.23 Os.upf
CELL_PARAMETERS angstrom
9.132 0.000 0.000
0.000 11.492 0.000
0.000 0.000 3.634
ATOMIC_POSITIONS angstrom
Tb 0.515 1.463 0.000
Tb 1.620 4.754 0.000
Tb 2.946 10.500 0.000
Tb 4.051 7.209 0.000
Tb 5.081 4.283 0.000
Tb 6.187 0.992 0.000
Tb 7.512 6.738 0.000
Tb 8.618 10.029 0.000
B 0.150 3.301 1.817
B 0.490 6.517 1.817
B 0.996 11.144 1.817
B 1.202 9.357 1.817
B 1.915 2.677 1.817
B 2.259 6.666 1.817
B 2.307 0.920 1.817
B 2.652 8.424 1.817
B 3.364 3.611 1.817
B 3.570 5.398 1.817
B 4.076 0.771 1.817
B 4.416 9.047 1.817
B 4.716 2.445 1.817
B 5.056 10.721 1.817
B 5.562 6.094 1.817
B 5.768 7.882 1.817
B 6.481 3.069 1.817
B 6.826 10.572 1.817
B 6.873 4.826 1.817
B 7.218 8.815 1.817
B 7.930 2.136 1.817
B 8.136 0.348 1.817
B 8.643 4.975 1.817
B 8.982 8.191 1.817
Os 1.255 7.796 0.000
Os 3.312 2.050 0.000
Os 5.821 9.442 0.000
Os 7.878 3.696 0.000
```

Space group: Pbam, No. 55
DOS(E_F) (states/eV/atom): 0.082
Magnetic moment (μB per formula unit): 0.0
Electronic total energy (eV per cell): -865.75
Crystal system: orthorhombic
Calculated formation energy (eV/atom): -0.72

=====

Result set for calculated density: 7.1 4.8 4.2 7.6 10.3 10.0 Mg/m³, one per record in the order listed.